# 1
Computed, not measured: an optimized crystal structure of Tm6TlIr2 at the GGA-PBE level of DFT.

Summary:
Formation energy ... -59 kJ per mole of atoms
Magnetization ... 0.00 μB per formula unit

a = 9.260 Å, b = 9.506 Å, c = 10.345 Å
α = 90.00°, β = 90.00°, γ = 90.00°
Space group Immm (No. 71)
Symmetry-distinct sites (fractional):
Tm (0.000, 0.208, 0.239) x8
Tm (0.193, 0.500, 0.168) x8
Tm (0.212, 0.318, 0.500) x8
Tl (0.000, 0.000, 0.000) x2
Tl (0.000, 0.000, 0.500) x2
Ir (0.000, 0.335, 0.000) x4
Ir (0.000, 0.500, 0.367) x4



# 2
Computed, not measured: an optimized crystal structure of Sb4TeSe at the GGA-PBE level of DFT.

Summary:
Formation energy from raw total energies ... 0.45 eV per atom
Magnetization ... 0.00 μB per formula unit

a = 8.764 Å, b = 8.764 Å, c = 8.764 Å
α = 90.00°, β = 90.00°, γ = 90.00°
Space group F-43m (No. 216)
Symmetry-distinct sites (fractional):
Sb (0.123, 0.123, 0.123) x16
Te (0.000, 0.000, 0.500) x4
Se (0.250, 0.250, 0.750) x4



# 3
Computed, not measured: an optimized crystal structure of SrNiC2 at the GGA-PBE level of DFT.

Summary:
Formation energy ... 166 kJ per mole of atoms
Magnetization ... 0.00 μB per formula unit

a = 5.913 Å, b = 5.913 Å, c = 5.913 Å
α = 90.00°, β = 90.00°, γ = 90.00°
Space group Fm-3m (No. 225)
Symmetry-distinct sites (fractional):
Sr (0.000, 0.000, 0.000) x4
Ni (0.000, 0.000, 0.500) x4
C (0.250, 0.250, 0.250) x8